Record 1
Computed, not measured: a geometry-optimized Zn2Te structure at the GGA-PBE level of DFT.

Geometry as POSCAR:
```
Zn2Te
1.0
2.569 -6.729 0.000
2.569 6.729 0.000
0.000 0.000 4.074
Te Zn
2 4
Cartesian
2.569 4.877 3.055
2.569 -4.877 1.018
2.569 -0.854 1.018
2.569 3.012 1.018
2.569 0.854 3.055
2.569 -3.012 3.055
```

Computed properties:
Total energy   -11.340 eV per cell
Formation energy without anion corrections   0.007 eV/atom



Record 2
Computed, not measured: a geometry-optimized Ac2VN3 structure at the GGA-PBE level of DFT.

Geometry as POSCAR:
```
Ac2VN3
1.0
5.736 0.000 0.000
-2.868 5.738 0.000
0.000 0.000 12.705
V N Ac
4 12 8
Cartesian
2.868 2.974 4.315
0.000 2.974 2.038
2.868 2.764 10.667
0.000 2.764 8.390
2.868 0.923 11.084
2.868 4.815 4.732
0.000 0.923 7.973
1.434 3.010 9.529
0.000 4.815 1.621
0.000 3.974 6.917
2.868 3.974 12.141
4.302 2.728 3.176
0.000 1.764 0.564
-1.434 3.010 9.529
1.434 2.728 3.176
2.868 1.764 5.789
2.868 5.006 1.792
2.868 1.617 0.985
2.868 0.731 8.144
0.000 1.617 5.367
2.868 4.121 7.338
0.000 4.121 11.720
0.000 5.006 4.561
0.000 0.731 10.913
```

Computed properties:
Total energy   -196.412 eV per cell
Formation energy without anion corrections   -1.132 eV/atom